No. 1
Compound: Li4ZnHg3
Source: Alexandria
Functional: PBE
Structure: relaxed

Unit cell a=4.615 b=4.616 c=7.375 alpha=108.28 beta=108.24 gamma=90.00
Element x y z (fractional)
Hg 0.256 0.756 0.512
Hg 0.744 0.244 0.488
Li 0.878 0.878 0.756
Li 0.122 0.122 0.244
Zn 0.500 0.000 0.000
Li 0.378 0.378 0.756
Li 0.622 0.622 0.244
Hg 0.000 0.500 0.000

Results
SG: I4/mmm, No. 139
Energy relative to the elements, eV/atom: -0.312
Density, g cm⁻³: 8.19
Magnetic moment, μB per cell: 0.00
Energy, Ha/atom: -0.057

No. 2
Compound: Tb4TmCu5
Source: Alexandria
Functional: PBE
Structure: relaxed

Unit cell a=3.454 b=3.454 c=17.507 alpha=90.00 beta=90.00 gamma=90.00
Element x y z (fractional)
Cu 0.500 0.500 0.500
Tb 0.000 0.000 0.601
Cu 0.500 0.500 0.299
Tb 0.000 0.000 0.802
Cu 0.500 0.500 0.096
Tm 0.000 0.000 0.000
Cu 0.500 0.500 0.701
Tb 0.000 0.000 0.399
Cu 0.500 0.500 0.904
Tb 0.000 0.000 0.198

Results
SG: P4/mmm, No. 123
Energy relative to the elements, eV/atom: -0.253
Density, g cm⁻³: 8.92
Magnetic moment, μB per cell: 0.00
Energy, Ha/atom: -0.169

No. 3
Compound: CsBa2Tc
Source: Alexandria
Functional: PBE
Structure: relaxed

Unit cell a=6.175 b=6.175 c=6.175 alpha=60.00 beta=60.00 gamma=60.00
Element x y z (fractional)
Ba 0.250 0.250 0.250
Tc 0.000 0.000 0.000
Cs 0.500 0.500 0.500
Ba 0.750 0.750 0.750

Results
SG: Fm-3m, No. 225
Energy relative to the elements, eV/atom: 0.984
Density, g cm⁻³: 5.04
Magnetic moment, μB per cell: 2.02
Energy, Ha/atom: -0.102

No. 4
Compound: Hf3TiSe6
Source: Alexandria
Functional: PBE
Structure: relaxed

Unit cell a=7.744 b=7.744 c=7.744 alpha=88.10 beta=88.10 gamma=88.10
Element x y z (fractional)
Se 0.595 0.822 0.462
Se 0.692 0.080 0.872
Hf 0.206 0.596 0.074
Se 0.538 0.405 0.178
Se 0.405 0.178 0.538
Se 0.920 0.128 0.308
Ti 0.500 0.500 0.500
Hf 0.596 0.074 0.206
Se 0.128 0.308 0.920
Se 0.308 0.920 0.128
Hf 0.926 0.794 0.404
Se 0.080 0.872 0.692
Hf 0.794 0.404 0.926
Se 0.822 0.462 0.595
Se 0.178 0.538 0.405
Se 0.462 0.595 0.822
Hf 0.404 0.926 0.794
Hf 0.074 0.206 0.596
Se 0.872 0.692 0.080
Ti 0.000 0.000 0.000

Results
SG: R-3, No. 148
Density, g cm⁻³: 7.57
Magnetic moment, μB per cell: 2.93
Energy relative to the elements, uncorrected, eV/atom: -1.05
Energy, Ha/atom: -0.254

No. 5
Compound: HfBeCuAg
Source: Alexandria
Functional: PBE
Structure: relaxed

Unit cell a=4.371 b=4.371 c=4.371 alpha=60.00 beta=60.00 gamma=60.00
Element x y z (fractional)
Hf 0.000 0.000 0.000
Cu 0.250 0.250 0.250
Ag 0.500 0.500 0.500
Be 0.750 0.750 0.750

Results
SG: F-43m, No. 216
Energy relative to the elements, eV/atom: 0.026
Density, g cm⁻³: 10.09
Magnetic moment, μB per cell: 0.00
Energy, Ha/atom: -0.189

No. 6
Compound: NaBSe3
Source: Alexandria
Functional: PBE
Structure: relaxed

Unit cell a=12.013 b=6.120 c=8.158 alpha=116.72 beta=90.00 gamma=90.00
Element x y z (fractional)
B 0.322 0.031 0.690
B 0.678 0.969 0.310
Na 0.367 0.225 0.276
Se 0.715 0.358 0.941
Na 0.867 0.275 0.224
Na 0.633 0.775 0.724
Se 0.382 0.715 0.629
Se 0.103 0.774 0.411
Se 0.285 0.642 0.059
Se 0.397 0.274 0.911
Se 0.618 0.285 0.371
Se 0.215 0.142 0.559
Se 0.118 0.215 0.129
B 0.822 0.469 0.810
Se 0.882 0.785 0.871
Se 0.785 0.858 0.441
B 0.178 0.531 0.190
Se 0.897 0.226 0.589
Se 0.603 0.726 0.089
Na 0.133 0.725 0.776

Results
SG: P2_1/c, No. 14
Density, g cm⁻³: 3.36
Magnetic moment, μB per cell: 0.00
Energy relative to the elements, uncorrected, eV/atom: -0.39
Polymorph energy (0 for the lowest one), meV per atom: 46
Energy, Ha/atom: -0.150